# 1
Entry from the Alexandria database: an optimized crystal structure of PaCu3O6 (PBE).

Results
SG: Cmmm, No. 65
Total magnetic moment (μB/f.u.): 1.77
Raw formation energy (eV/atom): -1.4886

Cell lengths 5.957, 5.957, 3.636 Å; angles 90.00, 90.00, 112.10 degrees
Positions (direct):
Pa: 0.000 0.000 0.000
Cu: 0.000 0.500 0.500
Cu: 0.500 0.000 0.500
Cu: 0.500 0.500 0.000
O: 0.140 0.860 0.500
O: 0.169 0.420 0.000
O: 0.420 0.169 0.000
O: 0.580 0.831 0.000
O: 0.831 0.580 0.000
O: 0.860 0.140 0.500

---

# 2
Entry from the Alexandria database: an optimized crystal structure of CsHN2F (PBE).

Results
SG: P4/mmm, No. 123
Total magnetic moment (μB/f.u.): 3.10
E above lowest polymorph (meV per atom): 0

Cell lengths 3.684, 3.684, 6.202 Å; angles 90.00, 90.00, 90.00 degrees
Positions (direct):
Cs: 0.000 0.000 0.000
H: 0.500 0.500 0.500
N: 0.000 0.500 0.500
N: 0.500 0.000 0.500
F: 0.500 0.500 0.000

---

# 3
Entry from the Alexandria database: an optimized crystal structure of LaMgRuO6 (PBE).

Results
SG: P312, No. 149
Total magnetic moment (μB/f.u.): 0.96
Raw formation energy (eV/atom): -1.8807

Cell lengths 5.245, 5.245, 5.141 Å; angles 90.00, 90.00, 120.00 degrees
Positions (direct):
La: 0.000 0.000 0.000
Mg: 0.333 0.667 0.500
Ru: 0.667 0.333 0.500
O: 0.378 0.023 0.711
O: 0.378 0.355 0.289
O: 0.645 0.023 0.289
O: 0.645 0.622 0.711
O: 0.977 0.355 0.711
O: 0.977 0.622 0.289

---

# 4
Entry from the Alexandria database: an optimized crystal structure of CsTi3Se3 (PBE).

Results
SG: P6_3/m, No. 176
Total magnetic moment (μB/f.u.): 4.90
Raw formation energy (eV/atom): -1.0231

Cell lengths 9.888, 9.888, 4.658 Å; angles 90.00, 90.00, 120.00 degrees
Positions (direct):
Cs: 0.333 0.667 0.250
Cs: 0.667 0.333 0.750
Ti: 0.026 0.185 0.250
Ti: 0.159 0.974 0.250
Ti: 0.185 0.159 0.750
Ti: 0.815 0.841 0.250
Ti: 0.841 0.026 0.750
Ti: 0.974 0.815 0.750
Se: 0.048 0.328 0.750
Se: 0.281 0.952 0.750
Se: 0.328 0.281 0.250
Se: 0.672 0.719 0.750
Se: 0.719 0.048 0.250
Se: 0.952 0.672 0.250